The following is a DFT calculation (PBE-GGA) of a relaxed Zr2Ag2Sn crystal.

volume: 211.7 Å³ per cell
DFT formation energy: -0.05 eV per atom

Unit cell a=7.896 b=7.896 c=3.395 alpha=90.00 beta=90.00 gamma=90.00
Fractional coordinates of all 10 atoms:
Sn1 0.500 0.500 0.000
Sn2 0.000 0.000 0.000
Zr1 0.673 0.827 0.500
Zr2 0.173 0.673 0.500
Zr3 0.327 0.173 0.500
Zr4 0.827 0.327 0.500
Ag1 0.376 0.876 0.000
Ag2 0.124 0.376 0.000
Ag3 0.624 0.124 0.000
Ag4 0.876 0.624 0.000

***

The following is a DFT calculation (PBE-GGA) of a relaxed ZrAg2Sn crystal.

volume: 177.5 Å³ per cell
DFT formation energy: 0.05 eV per atom

Unit cell a=4.089 b=4.089 c=10.999 alpha=79.29 beta=79.29 gamma=90.00
Fractional coordinates of all 8 atoms:
Zr1 0.250 0.750 0.500
Zr2 0.500 0.500 0.000
Ag1 0.627 0.125 0.250
Ag2 0.375 0.373 0.750
Ag3 0.123 0.625 0.250
Ag4 0.875 0.877 0.750
Sn1 0.000 0.000 0.000
Sn2 0.750 0.250 0.500

***

The highest DFT formation energy belongs to which entry?
ZrAg2Sn

***

Among the records above, which one has the lowest volume?
ZrAg2Sn